[1]
! TmThSe2 | Alexandria via LeMat-Bulk | PBE | relaxed; values from VASP
&SYSTEM
  ibrav = 0, nat = 8, ntyp = 3
/
ATOMIC_SPECIES
Tm 168.93 Tm.upf
Th 232.04 Th.upf
Se 78.96 Se.upf
ATOMIC_POSITIONS crystal
Tm 0.000 0.166 0.000
Tm 0.500 0.834 0.500
Th 0.000 0.574 0.143
Th 0.500 0.426 0.643
Se 0.000 0.302 0.369
Se 0.000 0.907 0.245
Se 0.500 0.093 0.745
Se 0.500 0.698 0.869
CELL_PARAMETERS angstrom
4.108 0.000 0.000
0.000 9.111 0.000
0.000 0.000 6.619
! - ΔE to the lowest computed polymorph (eV/f.u.) = 1.49
! - total DFT energy (no corrections) (eV/cell) = -47.57
! - DOS(E_F) (states/eV per atom) = 0.931

[2]
! TmThSe3 | Alexandria via LeMat-Bulk | PBE | relaxed; values from VASP
&SYSTEM
  ibrav = 0, nat = 20, ntyp = 3
/
ATOMIC_SPECIES
Tm 168.93 Tm.upf
Th 232.04 Th.upf
Se 78.96 Se.upf
ATOMIC_POSITIONS crystal
Tm 0.235 0.250 0.044
Tm 0.265 0.750 0.544
Tm 0.735 0.250 0.456
Tm 0.765 0.750 0.956
Th 0.125 0.750 0.296
Th 0.375 0.250 0.796
Th 0.625 0.750 0.204
Th 0.875 0.250 0.704
Se 0.010 0.750 0.105
Se 0.124 0.250 0.437
Se 0.156 0.750 0.720
Se 0.344 0.250 0.220
Se 0.376 0.750 0.937
Se 0.490 0.250 0.605
Se 0.510 0.750 0.395
Se 0.624 0.250 0.063
Se 0.656 0.750 0.780
Se 0.844 0.250 0.280
Se 0.876 0.750 0.563
Se 0.990 0.250 0.895
CELL_PARAMETERS angstrom
7.747 0.000 0.000
0.000 4.128 0.000
0.000 0.000 15.727
! - ΔE to the lowest computed polymorph (eV/f.u.) = 0.00
! - total DFT energy (no corrections) (eV/cell) = -124.32
! - DOS(E_F) (states/eV per atom) = 0.522

[3]
! Tm5ThSe6 | Alexandria via LeMat-Bulk | PBE | relaxed; values from VASP
&SYSTEM
  ibrav = 0, nat = 12, ntyp = 3
/
ATOMIC_SPECIES
Tm 168.93 Tm.upf
Th 232.04 Th.upf
Se 78.96 Se.upf
ATOMIC_POSITIONS crystal
Tm 0.000 0.000 0.000
Tm 0.166 0.834 0.500
Tm 0.340 0.660 0.000
Tm 0.660 0.340 0.000
Tm 0.834 0.166 0.500
Th 0.500 0.500 0.500
Se 0.068 0.415 0.242
Se 0.239 0.239 0.753
Se 0.415 0.068 0.242
Se 0.585 0.932 0.758
Se 0.761 0.761 0.247
Se 0.932 0.585 0.758
CELL_PARAMETERS angstrom
3.505 -6.121 0.000
3.505 6.121 0.000
-2.390 0.000 6.576
! - total DFT energy (no corrections) (eV/cell) = -70.18
! - DOS(E_F) (states/eV per atom) = 0.430

[4]
! Tm2ThSe | Alexandria via LeMat-Bulk | PBE | relaxed; values from VASP
&SYSTEM
  ibrav = 0, nat = 4, ntyp = 3
/
ATOMIC_SPECIES
Tm 168.93 Tm.upf
Th 232.04 Th.upf
Se 78.96 Se.upf
ATOMIC_POSITIONS crystal
Tm 0.108 0.108 0.108
Tm 0.892 0.892 0.892
Th 0.000 0.000 0.000
Se 0.500 0.500 0.500
CELL_PARAMETERS angstrom
1.808 1.044 10.358
-1.808 1.044 10.358
0.000 -2.088 10.358
! - ΔE to the lowest computed polymorph (eV/f.u.) = 1.04
! - total DFT energy (no corrections) (eV/cell) = -21.80
! - DOS(E_F) (states/eV per atom) = 0.841

[5]
! TmThSe | Alexandria via LeMat-Bulk | PBE | relaxed; values from VASP
&SYSTEM
  ibrav = 0, nat = 12, ntyp = 3
/
ATOMIC_SPECIES
Tm 168.93 Tm.upf
Th 232.04 Th.upf
Se 78.96 Se.upf
ATOMIC_POSITIONS crystal
Tm 0.114 0.114 0.114
Tm 0.114 0.114 0.658
Tm 0.114 0.658 0.114
Tm 0.658 0.114 0.114
Th 0.104 0.632 0.632
Th 0.632 0.104 0.632
Th 0.632 0.632 0.104
Th 0.632 0.632 0.632
Se 0.368 0.368 0.368
Se 0.368 0.368 0.895
Se 0.368 0.895 0.368
Se 0.895 0.368 0.368
CELL_PARAMETERS angstrom
0.000 5.578 5.578
5.578 0.000 5.578
5.578 5.578 0.000
! - ΔE to the lowest computed polymorph (eV/f.u.) = 0.18
! - total DFT energy (no corrections) (eV/cell) = -71.91
! - DOS(E_F) (states/eV per atom) = 1.079

[6]
! Tm4Th3Se8 | Alexandria via LeMat-Bulk | PBE | relaxed; values from VASP
&SYSTEM
  ibrav = 0, nat = 15, ntyp = 3
/
ATOMIC_SPECIES
Tm 168.93 Tm.upf
Th 232.04 Th.upf
Se 78.96 Se.upf
ATOMIC_POSITIONS crystal
Tm 0.000 0.000 0.000
Tm 0.000 0.000 0.500
Tm 0.000 0.500 0.000
Tm 0.500 0.000 0.000
Th 0.000 0.500 0.500
Th 0.500 0.000 0.500
Th 0.500 0.500 0.000
Se 0.243 0.757 0.000
Se 0.244 0.244 0.000
Se 0.245 0.245 0.487
Se 0.251 0.749 0.500
Se 0.749 0.251 0.500
Se 0.755 0.755 0.513
Se 0.756 0.756 0.000
Se 0.757 0.243 0.000
CELL_PARAMETERS angstrom
5.800 -5.798 0.000
5.800 5.798 0.000
-5.791 0.000 5.801
! - total DFT energy (no corrections) (eV/cell) = -93.00
! - DOS(E_F) (states/eV per atom) = 0.625

[7]
! Tm2ThSe4 | Alexandria via LeMat-Bulk | PBE | relaxed; values from VASP
&SYSTEM
  ibrav = 0, nat = 14, ntyp = 3
/
ATOMIC_SPECIES
Tm 168.93 Tm.upf
Th 232.04 Th.upf
Se 78.96 Se.upf
ATOMIC_POSITIONS crystal
Tm 0.134 0.866 0.565
Tm 0.134 0.866 0.935
Tm 0.866 0.134 0.065
Tm 0.866 0.134 0.435
Th 0.376 0.624 0.750
Th 0.624 0.376 0.250
Se 0.039 0.961 0.750
Se 0.228 0.772 0.122
Se 0.228 0.772 0.378
Se 0.500 0.500 0.000
Se 0.500 0.500 0.500
Se 0.772 0.228 0.622
Se 0.772 0.228 0.878
Se 0.961 0.039 0.250
CELL_PARAMETERS angstrom
2.006 -6.653 0.000
2.006 6.653 0.000
0.000 0.000 13.612
! - total DFT energy (no corrections) (eV/cell) = -84.47
! - DOS(E_F) (states/eV per atom) = 0.572

[8]
! TmTh4Se5 | Alexandria via LeMat-Bulk | PBE | relaxed; values from VASP
&SYSTEM
  ibrav = 0, nat = 10, ntyp = 3
/
ATOMIC_SPECIES
Tm 168.93 Tm.upf
Th 232.04 Th.upf
Se 78.96 Se.upf
ATOMIC_POSITIONS crystal
Tm 0.000 0.000 0.000
Th 0.192 0.593 0.786
Th 0.407 0.192 0.599
Th 0.593 0.808 0.401
Th 0.808 0.407 0.214
Se 0.102 0.285 0.387
Se 0.285 0.898 0.183
Se 0.500 0.500 0.000
Se 0.715 0.102 0.817
Se 0.898 0.715 0.613
CELL_PARAMETERS angstrom
-4.665 4.665 2.949
4.665 -4.665 2.949
4.665 4.665 -2.949
! - total DFT energy (no corrections) (eV/cell) = -67.11
! - DOS(E_F) (states/eV per atom) = 0.760

[9]
! TmThSe | Alexandria via LeMat-Bulk | PBE | relaxed; values from VASP
&SYSTEM
  ibrav = 0, nat = 3, ntyp = 3
/
ATOMIC_SPECIES
Tm 168.93 Tm.upf
Th 232.04 Th.upf
Se 78.96 Se.upf
ATOMIC_POSITIONS crystal
Tm 0.000 0.000 0.000
Th 0.667 0.333 0.423
Se 0.333 0.667 0.729
CELL_PARAMETERS angstrom
3.824 0.000 0.000
-1.912 3.312 0.000
0.000 0.000 6.823
! - ΔE to the lowest computed polymorph (eV/f.u.) = 0.00
! - total DFT energy (no corrections) (eV/cell) = -18.16
! - DOS(E_F) (states/eV per atom) = 0.831

[10]
! TmThSe2 | Alexandria via LeMat-Bulk | PBE | relaxed; values from VASP
&SYSTEM
  ibrav = 0, nat = 4, ntyp = 3
/
ATOMIC_SPECIES
Tm 168.93 Tm.upf
Th 232.04 Th.upf
Se 78.96 Se.upf
ATOMIC_POSITIONS crystal
Tm 0.000 0.000 0.000
Th 0.500 0.500 0.500
Se 0.257 0.257 0.257
Se 0.743 0.743 0.743
CELL_PARAMETERS angstrom
1.986 1.147 7.195
-1.986 1.147 7.195
0.000 -2.293 7.195
! - ΔE to the lowest computed polymorph (eV/f.u.) = 0.00
! - total DFT energy (no corrections) (eV/cell) = -25.28
! - DOS(E_F) (states/eV per atom) = 0.663

[11]
! TmTh2Se3 | Alexandria via LeMat-Bulk | PBE | relaxed; values from VASP
&SYSTEM
  ibrav = 0, nat = 12, ntyp = 3
/
ATOMIC_SPECIES
Tm 168.93 Tm.upf
Th 232.04 Th.upf
Se 78.96 Se.upf
ATOMIC_POSITIONS crystal
Tm 0.168 0.832 0.000
Tm 0.832 0.168 0.000
Th 0.000 0.000 0.500
Th 0.341 0.659 0.500
Th 0.500 0.500 0.000
Th 0.659 0.341 0.500
Se 0.074 0.420 0.762
Se 0.229 0.229 0.228
Se 0.420 0.074 0.762
Se 0.580 0.926 0.238
Se 0.771 0.771 0.772
Se 0.926 0.580 0.238
CELL_PARAMETERS angstrom
3.547 -6.092 0.000
3.547 6.092 0.000
-2.321 0.000 6.993
! - total DFT energy (no corrections) (eV/cell) = -78.37
! - DOS(E_F) (states/eV per atom) = 0.703

[12]
! TmThSe3 | Alexandria via LeMat-Bulk | PBE | relaxed; values from VASP
&SYSTEM
  ibrav = 0, nat = 10, ntyp = 3
/
ATOMIC_SPECIES
Tm 168.93 Tm.upf
Th 232.04 Th.upf
Se 78.96 Se.upf
ATOMIC_POSITIONS crystal
Tm 0.165 0.835 0.500
Tm 0.835 0.165 0.000
Th 0.340 0.660 0.498
Th 0.660 0.340 0.998
Se 0.091 0.909 0.181
Se 0.251 0.749 0.832
Se 0.404 0.596 0.153
Se 0.596 0.404 0.653
Se 0.749 0.251 0.332
Se 0.909 0.091 0.681
CELL_PARAMETERS angstrom
2.090 -10.522 0.000
2.090 10.522 0.000
0.000 0.000 7.252
! - ΔE to the lowest computed polymorph (eV/f.u.) = 0.54
! - total DFT energy (no corrections) (eV/cell) = -61.07
! - DOS(E_F) (states/eV per atom) = 0.644

What did the tenth record say?
! TmThSe2 | Alexandria via LeMat-Bulk | PBE | relaxed; values from VASP
&SYSTEM
  ibrav = 0, nat = 4, ntyp = 3
/
ATOMIC_SPECIES
Tm 168.93 Tm.upf
Th 232.04 Th.upf
Se 78.96 Se.upf
ATOMIC_POSITIONS crystal
Tm 0.000 0.000 0.000
Th 0.500 0.500 0.500
Se 0.257 0.257 0.257
Se 0.743 0.743 0.743
CELL_PARAMETERS angstrom
1.986 1.147 7.195
-1.986 1.147 7.195
0.000 -2.293 7.195
! - ΔE to the lowest computed polymorph (eV/f.u.) = 0.00
! - total DFT energy (no corrections) (eV/cell) = -25.28
! - DOS(E_F) (states/eV per atom) = 0.663

- Which value of total DFT energy (no corrections) does entry 11 give?
  -78.37 eV/cell

- Which of these has the lowest total DFT energy (no corrections)?
  number 2